Computed, not measured: an optimized crystal structure of Ac2CeEr at the GGA-PBE level of DFT.

DOS(E_F) (states/eV/cell): 9.7
E_tot (eV for the cell shown): -18.232
Energy relative to the elements (kJ/mol of formula units): 46

abc: 3.7820 3.7820 10.3695
angles: 90.00 90.00 90.00
Each line ends with the local moment (μB).
Sites, in units of the cell vectors:
Ac (0.0000, 0.0000, 0.7510)  0.02
Ac (0.0000, 0.0000, 0.2490)  0.02
Ce (0.5000, 0.5000, 0.5000)  0.88
Er (0.5000, 0.5000, 0.0000)  -0.04